The following is a DFT calculation (GGA-PBE) of crystalline ZnGa6Ag2 at its relaxed geometry.

## Properties
As for the energy above the lowest structure with this stoichiometry: 112 meV per atom.

CIF file:
```
data_ZnGa6Ag2
_cell_length_a 5.814
_cell_length_b 5.814
_cell_length_c 6.862
_cell_angle_alpha 64.94
_cell_angle_beta 64.94
_cell_angle_gamma 60.00
_symmetry_space_group_name_H-M 'P 1'
_symmetry_Int_Tables_number 1
loop_
_symmetry_equiv_pos_as_xyz
'x,y,z'
loop_
_atom_site_label
_atom_site_type_symbol
_atom_site_fract_x
_atom_site_fract_y
_atom_site_fract_z
_atom_site_occupancy
Ga1 Ga 0.058 0.061 0.290 1
Ga2 Ga 0.591 0.058 0.290 1
Ga3 Ga 0.255 0.797 0.685 1
Ga4 Ga 0.263 0.255 0.685 1
Ga5 Ga 0.797 0.263 0.685 1
Ga6 Ga 0.061 0.591 0.290 1
Ag1 Ag 0.567 0.567 0.299 1
Ag2 Ag 0.734 0.734 0.799 1
Zn1 Zn 0.340 0.340 0.980 1
```

=====

The following is a DFT calculation (GGA-PBE) of crystalline SrTlRe2 at its relaxed geometry.

## Properties
As for the energy above the lowest structure with this stoichiometry: 813 meV per atom.

CIF file:
```
data_SrTlRe2
_cell_length_a 5.520
_cell_length_b 5.967
_cell_length_c 2.826
_cell_angle_alpha 79.20
_cell_angle_beta 83.87
_cell_angle_gamma 115.93
_symmetry_space_group_name_H-M 'P 1'
_symmetry_Int_Tables_number 1
loop_
_symmetry_equiv_pos_as_xyz
'x,y,z'
loop_
_atom_site_label
_atom_site_type_symbol
_atom_site_fract_x
_atom_site_fract_y
_atom_site_fract_z
_atom_site_occupancy
Re1 Re 0.500 0.000 0.500 1
Re2 Re 0.000 0.000 0.000 1
Tl1 Tl 0.500 0.500 0.000 1
Sr1 Sr 0.000 0.500 0.500 1
```

=====

The following is a DFT calculation (GGA-PBE) of crystalline HfReTcSn at its relaxed geometry.

## Properties
Its uncorrected energy is -9.260 eV/atom.

CIF file:
```
data_HfReTcSn
_cell_length_a 4.614
_cell_length_b 4.614
_cell_length_c 4.614
_cell_angle_alpha 60.00
_cell_angle_beta 60.00
_cell_angle_gamma 60.00
_symmetry_space_group_name_H-M 'P 1'
_symmetry_Int_Tables_number 1
loop_
_symmetry_equiv_pos_as_xyz
'x,y,z'
loop_
_atom_site_label
_atom_site_type_symbol
_atom_site_fract_x
_atom_site_fract_y
_atom_site_fract_z
_atom_site_occupancy
Re1 Re 0.500 0.500 0.500 1
Hf1 Hf 0.750 0.750 0.750 1
Tc1 Tc 0.000 0.000 0.000 1
Sn1 Sn 0.250 0.250 0.250 1
```

=====

Number 2 is which compound?
SrTlRe2